# SrGe3Pt5, optimized geometry, DFT PBE
data_SrGe3Pt5
_cell_length_a 4.031
_cell_length_b 13.020
_cell_length_c 13.026
_cell_angle_alpha 90.00
_cell_angle_beta 90.00
_cell_angle_gamma 90.00
_symmetry_space_group_name_H-M 'C m c m'
_symmetry_Int_Tables_number 63
_symmetry_space_group_name_Hall '-C 2c 2'
loop_
_atom_site_label
_atom_site_type_symbol
_atom_site_fract_x
_atom_site_fract_y
_atom_site_fract_z
Sr1 Sr 0.000 0.156 0.250
Ge1 Ge 0.000 0.112 0.750
Ge2 Ge 0.000 0.382 0.541
Pt1 Pt 0.000 0.000 0.000
Pt2 Pt 0.000 0.203 0.576
Pt3 Pt 0.000 0.451 0.145
# - ΔH_f (0 K) (eV/atom) = -0.63